[1]
## Ce3SmO6 (PBE)

Data for Ce3SmO6 after structural relaxation.

Geometry as POSCAR:
```
Ce3SmO6
1.0
6.950 0.644 -0.756
-0.907 6.920 -0.756
0.514 0.644 6.972
O Ce Sm
12 6 2
direct
0.601 0.469 0.817
0.531 0.183 0.399
0.905 0.316 0.065
0.684 0.935 0.095
0.935 0.095 0.684
0.316 0.065 0.905
0.399 0.531 0.183
0.065 0.905 0.316
0.183 0.399 0.531
0.095 0.684 0.935
0.817 0.601 0.469
0.469 0.817 0.601
0.939 0.451 0.749
0.749 0.939 0.451
0.251 0.061 0.549
0.061 0.549 0.251
0.549 0.251 0.061
0.451 0.749 0.939
0.500 0.500 0.500
0.000 0.000 0.000
```

Output
DOS at the Fermi energy	1.631	states/eV/atom
SG	R-3, No. 148
magnetic moment	0.30	μB/atom
formation energy from raw total energies	-3.311	eV per atom


[2]
## Li2FeCl6 (PBE)

Data for Li2FeCl6 after structural relaxation.

Geometry as POSCAR:
```
Li2FeCl6
1.0
-7.743 0.207 -2.652
-0.285 -4.914 -7.627
-4.555 -6.261 4.737
Cl Fe Li
12 2 4
direct
0.236 0.089 0.179
0.264 0.821 0.911
0.794 0.593 0.663
0.706 0.337 0.407
0.511 0.325 0.836
0.011 0.836 0.325
0.989 0.164 0.675
0.764 0.911 0.821
0.736 0.179 0.089
0.489 0.675 0.164
0.294 0.663 0.593
0.206 0.407 0.337
0.250 0.851 0.149
0.750 0.149 0.851
0.548 0.516 0.648
0.952 0.352 0.484
0.452 0.484 0.352
0.048 0.648 0.516
```

Output
DOS at the Fermi energy	0.032	states/eV/atom
SG	C2/c, No. 15
magnetic moment	0.44	μB/atom
formation energy from raw total energies	-1.065	eV per atom


[3]
## Ca2In4Ag5 (PBE)

Data for Ca2In4Ag5 after structural relaxation.

Geometry as POSCAR:
```
Ca2In4Ag5
1.0
5.900 0.000 0.000
2.950 5.064 0.000
2.950 0.000 9.058
Ag In Ca
5 4 2
direct
0.500 0.000 0.000
0.250 0.500 0.500
0.000 0.500 0.000
0.750 0.500 0.500
0.500 0.500 0.000
0.472 0.312 0.743
0.216 0.312 0.257
0.528 0.688 0.257
0.784 0.688 0.743
0.162 0.000 0.676
0.838 0.000 0.324
```

Output
DOS at the Fermi energy	0.325	states/eV/atom
SG	Fmmm, No. 69
magnetic moment	0.00	μB/atom
calculated total energy	-2.839	eV/atom


[4]
## BaSc3 (PBE)

Data for BaSc3 after structural relaxation.

Geometry as POSCAR:
```
BaSc3
1.0
-0.563 2.027 11.354
-3.701 0.593 10.922
-0.918 -1.432 11.421
Sc Ba
3 1
direct
0.760 0.760 0.760
0.240 0.240 0.240
0.500 0.500 0.500
0.000 0.000 0.000
```

Output
DOS at the Fermi energy	1.809	states/eV/atom
SG	R-3m, No. 166
magnetic moment	0.00	μB/atom
distance to the lowest polymorph of the same formula	57	meV/atom


[5]
## LiAl6Co (PBE)

Data for LiAl6Co after structural relaxation.

Geometry as POSCAR:
```
LiAl6Co
1.0
-5.185 -0.570 -1.348
-1.314 -4.148 -4.838
-1.046 -5.268 0.425
Al Co Li
6 1 1
direct
0.778 0.222 0.440
0.222 0.338 0.440
0.222 0.778 0.560
0.338 0.222 0.000
0.662 0.778 0.000
0.778 0.662 0.560
0.500 0.500 0.000
0.000 0.000 0.000
```

Output
DOS at the Fermi energy	0.306	states/eV/atom
SG	R-3m, No. 166
magnetic moment	0.00	μB/atom
calculated total energy	-3.985	eV/atom


[6]
## ReSnIO2 (PBE)

Data for ReSnIO2 after structural relaxation.

Geometry as POSCAR:
```
ReSnIO2
1.0
-1.256 3.121 2.168
-2.465 1.068 -2.966
-4.548 -3.564 2.496
O Sn Re I
2 1 1 1
direct
0.500 0.000 0.000
0.000 0.500 0.000
0.500 0.500 0.500
0.000 0.000 0.000
0.000 0.000 0.500
```

Output
DOS at the Fermi energy	0.660	states/eV/atom
SG	P4/mmm, No. 123
magnetic moment	0.06	μB/atom
distance to the lowest polymorph of the same formula	0	meV/atom
formation energy from raw total energies	-0.144	eV per atom


[7]
## LiPPtRh (PBE)

Data for LiPPtRh after structural relaxation.

Geometry as POSCAR:
```
LiPPtRh
1.0
-2.603 0.635 -3.191
-3.386 -2.389 -0.434
-3.784 1.604 0.686
Li Rh P Pt
1 1 1 1
direct
0.000 0.000 0.000
0.250 0.250 0.250
0.500 0.500 0.500
0.750 0.750 0.750
```

Output
DOS at the Fermi energy	1.069	states/eV/atom
SG	F-43m, No. 216
magnetic moment	0.00	μB/atom
calculated total energy	-5.652	eV/atom


[8]
## AcTb6YEr2 (PBE)

Data for AcTb6YEr2 after structural relaxation.

Geometry as POSCAR:
```
AcTb6YEr2
1.0
-6.955 -2.326 6.141
-5.067 -1.874 -7.101
5.413 -6.401 3.054
Er Tb Ac Y
4 12 2 2
direct
0.548 0.203 0.317
0.048 0.317 0.203
0.952 0.683 0.797
0.452 0.797 0.683
0.820 0.445 0.985
0.444 0.249 0.873
0.618 0.491 0.712
0.556 0.751 0.127
0.944 0.873 0.249
0.320 0.985 0.445
0.882 0.288 0.509
0.056 0.127 0.751
0.180 0.555 0.015
0.382 0.509 0.288
0.118 0.712 0.491
0.680 0.015 0.555
0.750 0.029 0.971
0.250 0.971 0.029
0.750 0.588 0.412
0.250 0.412 0.588
```

Output
DOS at the Fermi energy	1.486	states/eV/atom
SG	C2/c, No. 15
magnetic moment	0.00	μB/atom
calculated total energy	-4.622	eV/atom


Q: Number 5 is which compound?
A: LiAl6Co